Below is crystalline LaErMo2O8 at its relaxed geometry, with properties calculated at the PBE+U level.

## Properties
SG   No. 82

Lattice parameters (Å, degrees): 5.333 5.333 6.805 113.07 113.07 90.00
Site moments in Bohr magnetons follow the coordinates.
Sites, in units of the cell vectors:
Mo  0.500  0.500  0.000  1.79
O  0.325  0.895  0.323  0.00
Er  0.000  0.000  0.000  0.03
O  0.776  0.849  0.174  0.02
O  0.105  0.002  0.677  0.00
La  0.750  0.250  0.500  0.02
O  0.675  0.224  0.826  0.02
O  0.998  0.429  0.323  0.00
O  0.571  0.675  0.677  0.00
Mo  0.250  0.750  0.500  0.05
O  0.398  0.325  0.174  0.02
O  0.151  0.602  0.826  0.02

Below is crystalline LaEr2MoO8 at its relaxed geometry, with properties calculated at the PBE+U level.

## Properties
SG   No. 65

Lattice parameters (Å, degrees): 5.013 5.012 7.008 90.00 90.00 90.60
Site moments in Bohr magnetons follow the coordinates.
Sites, in units of the cell vectors:
Er  0.500  0.500  0.238  -0.01
O  0.720  0.721  0.000  0.07
O  0.280  0.279  0.000  0.07
La  0.000  0.000  0.500  0.05
Mo  0.000  0.000  0.000  -0.04
O  0.186  0.813  0.203  0.03
O  0.186  0.813  0.797  0.03
O  0.814  0.187  0.203  0.03
O  0.322  0.321  0.500  0.22
O  0.678  0.679  0.500  0.22
Er  0.500  0.500  0.762  -0.01
O  0.814  0.187  0.797  0.03

Number 1: calculated total energy -92.70 eV/cell, total magnetization 0.167 μB/atom. Number 2: calculated total energy -93.21 eV/cell, total magnetization 0.068 μB/atom.